Material: YThPd14
Method: DFT, GGA-PBE
State: optimized geometry

POSCAR file:
```
YThPd14
1.0
5.842 0.000 0.000
0.000 5.842 0.000
0.000 0.000 7.893
Y Th Pd
1 1 14
direct
0.000 0.000 0.000 Y
0.500 0.500 0.000 Th
0.000 0.000 0.500 Pd
0.000 0.500 0.000 Pd
0.000 0.500 0.500 Pd
0.250 0.250 0.260 Pd
0.250 0.250 0.740 Pd
0.250 0.750 0.260 Pd
0.250 0.750 0.740 Pd
0.500 0.000 0.000 Pd
0.500 0.000 0.500 Pd
0.500 0.500 0.500 Pd
0.750 0.250 0.260 Pd
0.750 0.250 0.740 Pd
0.750 0.750 0.260 Pd
0.750 0.750 0.740 Pd
```

Values from the calculation:
energy: -93.759 eV/f.u.
space group: No. 123
M_tot: 0.00 Bohr magnetons per cell


Material: BaIrCl2
Method: DFT, GGA-PBE
State: optimized geometry

POSCAR file:
```
BaIrCl2
1.0
3.626 0.000 0.000
0.000 3.626 0.000
0.000 0.000 8.167
Ba Ir Cl
1 1 2
direct
0.000 0.000 0.000 Ba
0.500 0.500 0.689 Ir
0.000 0.000 0.636 Cl
0.500 0.500 0.212 Cl
```

Values from the calculation:
ΔE_f (raw): -10.96 kcal/mol of atoms
energy: -16.379 eV/f.u.
space group: No. 99
offset from the most stable computed form: 345 meV/atom
M_tot: 0.00 Bohr magnetons per cell


Material: Sm6Ge2TeSe3
Method: DFT, GGA-PBE
State: optimized geometry

POSCAR file:
```
Sm6Ge2TeSe3
1.0
9.253 -2.126 0.000
9.253 2.126 0.000
-1.875 0.000 8.350
Sm Ge Te Se
6 2 1 3
direct
0.006 0.006 0.269 Sm
0.327 0.327 0.898 Sm
0.331 0.331 0.422 Sm
0.669 0.669 0.578 Sm
0.673 0.673 0.102 Sm
0.994 0.994 0.731 Sm
0.167 0.167 0.335 Ge
0.833 0.833 0.665 Ge
0.500 0.500 0.000 Te
0.163 0.163 0.836 Se
0.500 0.500 0.500 Se
0.837 0.837 0.164 Se
```

Values from the calculation:
ΔE_f (raw): -34.57 kcal/mol of atoms
energy: -69.131 eV/f.u.
space group: No. 12
M_tot: 0.00 Bohr magnetons per cell


Q: Which formula does entry 1 have?
A: YThPd14


Q: energy of number 3 (Sm6Ge2TeSe3)?
A: -69.131 eV/f.u.


Q: Which of these has the highest energy?
A: BaIrCl2


Q: Number 3 is which compound?
A: Sm6Ge2TeSe3